No. 1
LaCdAg | GGA-PBE | relaxed

## Properties
Total magnetization (μB/cell): 0.051
Formation enthalpy at 0 K (eV per atom): -0.20

Cell lengths 4.964, 4.964, 4.964 Å; angles 60.00, 60.00, 60.00 degrees
Sites, in units of the cell vectors:
La 0.000 0.000 0.000
Cd 0.500 0.500 0.500
Ag 0.750 0.750 0.750

No. 2
Sc4Ta2Co3C3 | GGA-PBE | relaxed

## Properties
Final energy (eV per cell): -200.38
Total magnetization (μB/cell): 0.005

Cell lengths 5.485, 5.485, 13.314 Å; angles 100.81, 100.81, 60.25 degrees
Sites, in units of the cell vectors:
Sc 0.038 0.189 0.098
Sc 0.129 0.303 0.402
Sc 0.189 0.038 0.598
Sc 0.303 0.129 0.902
Sc 0.697 0.871 0.098
Sc 0.811 0.962 0.402
Sc 0.871 0.697 0.598
Sc 0.962 0.811 0.902
Ta 0.355 0.528 0.097
Ta 0.472 0.645 0.403
Ta 0.528 0.355 0.597
Ta 0.645 0.472 0.903
Co 0.080 0.419 0.750
Co 0.083 0.917 0.750
Co 0.419 0.080 0.250
Co 0.581 0.920 0.750
Co 0.917 0.083 0.250
Co 0.920 0.581 0.250
C 0.000 0.500 0.000
C 0.202 0.649 0.500
C 0.351 0.798 0.000
C 0.500 0.000 0.500
C 0.649 0.202 0.000
C 0.798 0.351 0.500

No. 3
LiAgNO | GGA-PBE | relaxed

## Properties
Final energy (eV per cell): -33.54

Cell lengths 3.630, 6.025, 4.100 Å; angles 90.00, 90.00, 90.00 degrees
Sites, in units of the cell vectors:
Li 0.000 0.239 0.000
Li 0.000 0.761 0.500
Ag 0.500 0.234 0.499
Ag 0.500 0.766 0.999
N 0.000 0.436 0.497
N 0.000 0.564 0.997
O 0.500 0.149 0.999
O 0.500 0.851 0.499

No. 4
RbYNiS3 | GGA-PBE | relaxed

## Properties
Final energy (eV per cell): -66.15
Total magnetization (μB/cell): 3.855

Cell lengths 7.616, 7.616, 10.394 Å; angles 90.00, 90.00, 150.08 degrees
Sites, in units of the cell vectors:
Rb 0.243 0.757 0.750
Rb 0.757 0.243 0.250
Y 0.500 0.500 0.000
Y 0.500 0.500 0.500
Ni 0.032 0.968 0.250
Ni 0.968 0.032 0.750
S 0.119 0.881 0.071
S 0.119 0.881 0.429
S 0.448 0.552 0.250
S 0.552 0.448 0.750
S 0.881 0.119 0.571
S 0.881 0.119 0.929

No. 5
TmBiAsO | GGA-PBE | relaxed

## Properties
Final energy (eV per cell): -42.43
Total magnetization (μB/cell): 0.019

Cell lengths 4.835, 4.835, 7.407 Å; angles 90.00, 90.00, 90.00 degrees
Sites, in units of the cell vectors:
Tm 0.250 0.750 0.000
Tm 0.750 0.250 0.000
Bi 0.250 0.250 0.423
Bi 0.750 0.750 0.577
As 0.250 0.250 0.817
As 0.750 0.750 0.183
O 0.250 0.750 0.500
O 0.750 0.250 0.500

No. 6
AcNpPb | GGA-PBE | relaxed

## Properties
Final energy (eV per cell): -19.49
Total magnetization (μB/cell): 5.990

Cell lengths 5.509, 5.509, 5.509 Å; angles 60.00, 60.00, 60.00 degrees
Sites, in units of the cell vectors:
Ac 0.000 0.000 0.000
Np 0.500 0.500 0.500
Pb 0.250 0.250 0.250

No. 7
AlTlAg | GGA-PBE | relaxed

## Properties
Final energy (eV per cell): -8.32

Cell lengths 4.624, 4.624, 4.624 Å; angles 60.00, 60.00, 60.00 degrees
Sites, in units of the cell vectors:
Al 0.000 0.000 0.000
Tl 0.500 0.500 0.500
Ag 0.250 0.250 0.250

No. 8
AgF2 | GGA-PBE | relaxed

## Properties
Final energy (eV per cell): -14.51

Cell lengths 4.573, 4.573, 4.573 Å; angles 60.00, 60.00, 60.00 degrees
Sites, in units of the cell vectors:
Ag 0.125 0.125 0.125
Ag 0.875 0.875 0.875
F 0.000 0.500 0.500
F 0.500 0.000 0.500
F 0.500 0.500 0.000
F 0.500 0.500 0.500

Please write out number 1 again, unchanged.
LaCdAg | GGA-PBE | relaxed

## Properties
Total magnetization (μB/cell): 0.051
Formation enthalpy at 0 K (eV per atom): -0.20

Cell lengths 4.964, 4.964, 4.964 Å; angles 60.00, 60.00, 60.00 degrees
Sites, in units of the cell vectors:
La 0.000 0.000 0.000
Cd 0.500 0.500 0.500
Ag 0.750 0.750 0.750